(1)
A relaxed KMnTc crystal, computed with PBE.

## Properties
The total magnetic moment is 1.3 Bohr magnetons per cell. As for the density: 4.522 g/cm³. The space group is P2_1/m (11). For the energy relative to the elements, the calculation gives 0.59 eV/atom. The energy above the lowest structure with this stoichiometry is 32 meV/atom.

a b c (Å): 2.8345 3.9803 12.5352
angles (deg): 90.00 94.30 90.00
Positions (direct):
Tc  0.5723  0.2500  0.1110
Tc  0.4277  0.7500  0.8890
K  0.2484  0.7500  0.3281
K  0.7516  0.2500  0.6719
Mn  0.0278  0.2500  0.9399
Mn  0.9722  0.7500  0.0601



(2)
A relaxed Ba2GeI crystal, computed with PBE.

## Properties
The total magnetic moment is 2.0 Bohr magnetons per cell. As for the density: 3.373 g/cm³. The space group is I-42d (122). The energy above the lowest structure with this stoichiometry is 280 meV/atom. For the formation energy from raw total energies, the calculation gives -0.6673 eV/atom.

a b c (Å): 7.7634 7.7634 9.4943
angles (deg): 65.87 65.87 90.00
Positions (direct):
Ba  0.8750  0.8316  0.7500
Ba  0.3750  0.4184  0.7500
Ba  0.1684  0.6250  0.2500
Ba  0.5816  0.1250  0.2500
I  0.7500  0.2500  0.5000
I  0.0000  0.0000  0.0000
Ge  0.2500  0.7500  0.5000
Ge  0.5000  0.5000  0.0000



(3)
A relaxed Tb2YPuN4 crystal, computed with PBE.

## Properties
The total magnetic moment is 4.7 Bohr magnetons per cell. As for the density: 9.824 g/cm³. The space group is P2/m (10). For the formation energy from raw total energies, the calculation gives -1.5607 eV/atom.

a b c (Å): 3.4923 6.0215 6.0216
angles (deg): 109.36 90.00 90.00
Positions (direct):
N  0.0000  0.7540  0.2450
N  0.0000  0.2460  0.7550
N  0.5000  0.2428  0.2421
N  0.5000  0.7572  0.7579
Y  0.5000  0.5000  0.0000
Tb  0.0000  0.5000  0.5000
Tb  0.5000  0.0000  0.5000
Pu  0.0000  0.0000  0.0000



(4)
A relaxed CsNpMoN4 crystal, computed with PBE.

## Properties
The total magnetic moment is 4.0 Bohr magnetons per cell. As for the density: 5.986 g/cm³. The space group is P2_1/m (11). For the formation energy from raw total energies, the calculation gives -0.4875 eV/atom.

a b c (Å): 5.9592 5.9273 9.9596
angles (deg): 90.00 124.62 90.00
Positions (direct):
Np  0.2225  0.2500  0.5369
Np  0.7775  0.7500  0.4631
N  0.0385  0.4884  0.6479
N  0.5090  0.7500  0.5532
N  0.9615  0.5116  0.3521
N  0.4910  0.2500  0.4468
N  0.3576  0.7500  0.2479
N  0.9615  0.9884  0.3521
N  0.0385  0.0116  0.6479
N  0.6424  0.2500  0.7521
Cs  0.3760  0.2500  0.1113
Cs  0.6240  0.7500  0.8887
Mo  0.1808  0.7500  0.3559
Mo  0.8192  0.2500  0.6441



(5)
A relaxed BiAu4 crystal, computed with PBE.

## Properties
The total magnetic moment is 0.0 Bohr magnetons per cell. As for the density: 14.984 g/cm³. The space group is I-43m (217). For the energy relative to the elements, the calculation gives 0.09 eV/atom. The energy above the lowest structure with this stoichiometry is 56 meV/atom.

a b c (Å): 8.3108 8.3108 8.3108
angles (deg): 109.47 109.47 109.47
Positions (direct):
Bi  0.4104  0.4104  0.4104
Bi  0.0000  0.0000  0.5896
Bi  0.0000  0.5896  0.0000
Bi  0.5896  0.0000  0.0000
Au  0.2257  0.0000  0.0000
Au  0.5000  0.7500  0.2500
Au  0.0000  0.0000  0.2257
Au  0.0000  0.6499  0.6499
Au  0.2500  0.5000  0.7500
Au  0.2500  0.7500  0.5000
Au  0.7500  0.2500  0.5000
Au  0.3501  0.0000  0.3501
Au  0.6499  0.6499  0.0000
Au  0.6499  0.0000  0.6499
Au  0.5000  0.2500  0.7500
Au  0.3501  0.3501  0.0000
Au  0.0000  0.2257  0.0000
Au  0.7500  0.5000  0.2500
Au  0.0000  0.3501  0.3501
Au  0.7743  0.7743  0.7743



(6)
A relaxed Tb3RuRh2 crystal, computed with PBE.

## Properties
The total magnetic moment is 0.0 Bohr magnetons per cell. As for the density: 10.752 g/cm³. The space group is Cmmm (65). For the energy relative to the elements, the calculation gives -0.68 eV/atom.

a b c (Å): 7.7158 7.7158 6.7951
angles (deg): 90.00 90.00 143.25
Positions (direct):
Rh  0.0000  0.0000  0.5000
Rh  0.3342  0.6658  0.5000
Rh  0.6658  0.3342  0.5000
Rh  0.0000  0.0000  0.0000
Tb  0.1675  0.8325  0.2480
Tb  0.5000  0.5000  0.2483
Tb  0.8325  0.1675  0.2480
Tb  0.8325  0.1675  0.7520
Tb  0.5000  0.5000  0.7517
Tb  0.1675  0.8325  0.7520
Ru  0.6666  0.3334  0.0000
Ru  0.3334  0.6666  0.0000



Q: What is the total magnetic moment in the sixth record?
A: 0.0 Bohr magnetons per cell



Q: Which formula does entry 1 have?
A: KMnTc